Density functional theory data (GGA-PBE) for a relaxed Mg2MnCl crystal.

The structure in POSCAR format:
```
Mg2MnCl
1.0
1.6826 -2.8372 3.7410
3.0422 1.9518 3.4368
-1.6486 0.7631 4.6450
Mn Cl Mg
1 1 2
Direct
0.5000 0.5000 0.5000 Mn
0.0000 0.0000 0.0000 Cl
0.2500 0.2500 0.2500 Mg
0.7500 0.7500 0.7500 Mg
```

- Final energy: -3.285 eV/atom
- Formation energy without anion corrections: 26 kJ per mole of atoms
- Mass density: 2.63 Mg/m³
- Offset from the most stable computed form: 571 meV per atom

Density functional theory data (GGA-PBE) for a relaxed Sr2LiMnN crystal.

The structure in POSCAR format:
```
Sr2LiMnN
1.0
5.5766 0.0000 0.0000
0.0000 5.5766 0.0000
0.0000 0.0000 3.7653
Sr Mn N Li
2 1 1 1
Direct
0.5000 0.0000 0.0000 Sr
0.0000 0.5000 0.0000 Sr
0.0000 0.0000 0.5000 Mn
0.0000 0.0000 0.0000 N
0.5000 0.5000 0.5000 Li
```

- Final energy: -4.764 eV/atom
- Formation energy without anion corrections: -20 kJ per mole of atoms
- Mass density: 3.56 Mg/m³